Density functional theory data (PBE-GGA) for an optimized crystal structure of Pd3SeO.

DFT total energy, eV for the cell shown: -49.4
Crystal system: monoclinic
Formation energy from raw total energies, eV/f.u.: -0.69

```
data_Pd3SeO
_chemical_formula_sum 'Pd6 Se2 O2'
_symmetry_space_group_name_H-M 'P 1 21/m 1'
_symmetry_Int_Tables_number 11
_cell_length_a 3.446
_cell_length_b 7.471
_cell_length_c 6.756
_cell_angle_alpha 90.00
_cell_angle_beta 92.91
_cell_angle_gamma 90.00
loop_
_symmetry_equiv_pos_as_xyz
'x,y,z'
'-x,-y,-z'
'-x,y+1/2,-z'
'x,-y+1/2,z'
loop_
_atom_site_label
_atom_site_fract_x
_atom_site_fract_y
_atom_site_fract_z
_atom_site_occupancy
Pd1 0.070 0.070 0.316 1
Pd2 0.392 0.750 0.117 1
Se1 0.087 0.250 0.634 1
O1 0.117 0.250 0.081 1
```

Density functional theory data (PBE-GGA) for an optimized crystal structure of PdSeO3.

DFT total energy, eV for the cell shown: -106.2
Crystal system: monoclinic
Formation energy from raw total energies, eV/f.u.: -2.99

```
data_PdSeO3
_chemical_formula_sum 'Pd4 Se4 O12'
_symmetry_space_group_name_H-M 'C 1 2/m 1'
_symmetry_Int_Tables_number 12
_cell_length_a 7.404
_cell_length_b 7.062
_cell_length_c 7.327
_cell_angle_alpha 90.00
_cell_angle_beta 118.86
_cell_angle_gamma 90.00
loop_
_symmetry_equiv_pos_as_xyz
'x,y,z'
'-x,-y,-z'
'-x,y,-z'
'x,-y,z'
'x+1/2,y+1/2,z'
'-x+1/2,-y+1/2,-z'
'-x+1/2,y+1/2,-z'
'x+1/2,-y+1/2,z'
loop_
_atom_site_label
_atom_site_fract_x
_atom_site_fract_y
_atom_site_fract_z
_atom_site_occupancy
Pd1 0.250 0.250 0.000 1
Se1 0.160 0.000 0.338 1
O1 0.110 0.000 0.867 1
O2 0.249 0.302 0.726 1
```

Density functional theory data (PBE-GGA) for an optimized crystal structure of Pd4SeO.

DFT total energy, eV for the cell shown: -117.4
Crystal system: tetragonal
Formation energy from raw total energies, eV/f.u.: -0.15

```
data_Pd4SeO
_chemical_formula_sum 'Pd16 Se4 O4'
_symmetry_space_group_name_H-M 'I 41 m d'
_symmetry_Int_Tables_number 109
_symmetry_space_group_name_Hall 'I 4bw -2'
_cell_length_a 7.307
_cell_length_b 7.307
_cell_length_c 7.690
_cell_angle_alpha 90.00
_cell_angle_beta 90.00
_cell_angle_gamma 90.00
loop_
_atom_site_label
_atom_site_fract_x
_atom_site_fract_y
_atom_site_fract_z
_atom_site_occupancy
Pd1 0.000 0.179 0.000 1
Pd2 0.000 0.254 0.477 1
Se1 0.000 0.000 0.721 1
O1 0.000 0.000 0.353 1
```

Density functional theory data (PBE-GGA) for an optimized crystal structure of Pd2Se3O6.

DFT total energy, eV for the cell shown: -211.2
Crystal system: monoclinic
Formation energy from raw total energies, eV/f.u.: -2.20

```
data_Pd2Se3O6
_chemical_formula_sum 'Pd8 Se12 O24'
_symmetry_space_group_name_H-M 'C 1 2/c 1'
_symmetry_Int_Tables_number 15
_cell_length_a 9.144
_cell_length_b 5.518
_cell_length_c 12.689
_cell_angle_alpha 90.00
_cell_angle_beta 105.23
_cell_angle_gamma 90.00
loop_
_symmetry_equiv_pos_as_xyz
'x,y,z'
'-x,-y,-z'
'-x,y,-z+1/2'
'x,-y,z+1/2'
'x+1/2,y+1/2,z'
'-x+1/2,-y+1/2,-z'
'-x+1/2,y+1/2,-z+1/2'
'x+1/2,-y+1/2,z+1/2'
loop_
_atom_site_label
_atom_site_fract_x
_atom_site_fract_y
_atom_site_fract_z
_atom_site_occupancy
Pd1 0.083 0.248 0.002 1
Se1 0.000 0.066 0.250 1
Se2 0.146 0.416 0.748 1
O1 0.044 0.070 0.410 1
O2 0.102 0.430 0.591 1
O3 0.214 0.402 0.912 1
```

Density functional theory data (PBE-GGA) for an optimized crystal structure of PdSe3O.

DFT total energy, eV for the cell shown: -17.7
Crystal system: cubic
Formation energy from raw total energies, eV/f.u.: 2.92

```
data_PdSe3O
_chemical_formula_sum 'Pd1 Se3 O1'
_symmetry_space_group_name_H-M 'P m -3 m'
_symmetry_Int_Tables_number 221
_symmetry_space_group_name_Hall '-P 4 2 3'
_cell_length_a 4.468
_cell_length_b 4.468
_cell_length_c 4.468
_cell_angle_alpha 90.00
_cell_angle_beta 90.00
_cell_angle_gamma 90.00
loop_
_atom_site_label
_atom_site_fract_x
_atom_site_fract_y
_atom_site_fract_z
_atom_site_occupancy
Pd1 0.000 0.000 0.000 1
Se1 0.000 0.500 0.500 1
O1 0.500 0.500 0.500 1
```

Density functional theory data (PBE-GGA) for an optimized crystal structure of PdSeO3.

DFT total energy, eV for the cell shown: -53.2
Crystal system: monoclinic
Formation energy from raw total energies, eV/f.u.: -3.04

```
data_PdSeO3
_chemical_formula_sum 'Pd2 Se2 O6'
_symmetry_space_group_name_H-M 'P 1 21/m 1'
_symmetry_Int_Tables_number 11
_cell_length_a 4.052
_cell_length_b 6.585
_cell_length_c 6.305
_cell_angle_alpha 90.00
_cell_angle_beta 95.99
_cell_angle_gamma 90.00
loop_
_symmetry_equiv_pos_as_xyz
'x,y,z'
'-x,-y,-z'
'-x,y+1/2,-z'
'x,-y+1/2,z'
loop_
_atom_site_label
_atom_site_fract_x
_atom_site_fract_y
_atom_site_fract_z
_atom_site_occupancy
Pd1 0.000 0.000 0.000 1
Se1 0.445 0.250 0.682 1
O1 0.276 0.250 0.944 1
O2 0.303 0.541 0.277 1
```

Density functional theory data (PBE-GGA) for an optimized crystal structure of PdSeO3.

DFT total energy, eV for the cell shown: -22.5
Crystal system: cubic
Formation energy from raw total energies, eV/f.u.: 1.01

```
data_PdSeO3
_chemical_formula_sum 'Pd1 Se1 O3'
_symmetry_space_group_name_H-M 'P m -3 m'
_symmetry_Int_Tables_number 221
_symmetry_space_group_name_Hall '-P 4 2 3'
_cell_length_a 3.875
_cell_length_b 3.875
_cell_length_c 3.875
_cell_angle_alpha 90.00
_cell_angle_beta 90.00
_cell_angle_gamma 90.00
loop_
_atom_site_label
_atom_site_fract_x
_atom_site_fract_y
_atom_site_fract_z
_atom_site_occupancy
Pd1 0.000 0.000 0.000 1
Se1 0.500 0.500 0.500 1
O1 0.000 0.500 0.500 1
```

Density functional theory data (PBE-GGA) for an optimized crystal structure of PdSeO4.

DFT total energy, eV for the cell shown: -123.9
Crystal system: orthorhombic
Formation energy from raw total energies, eV/f.u.: -2.45

```
data_PdSeO4
_chemical_formula_sum 'Pd4 Se4 O16'
_symmetry_space_group_name_H-M 'I m m a'
_symmetry_Int_Tables_number 74
_symmetry_space_group_name_Hall '-I 2b 2'
_cell_length_a 6.476
_cell_length_b 6.511
_cell_length_c 6.935
_cell_angle_alpha 90.00
_cell_angle_beta 90.00
_cell_angle_gamma 90.00
loop_
_atom_site_label
_atom_site_fract_x
_atom_site_fract_y
_atom_site_fract_z
_atom_site_occupancy
Pd1 0.250 0.250 0.250 1
Se1 0.000 0.250 0.691 1
O1 0.000 0.056 0.232 1
O2 0.217 0.250 0.545 1
```

Density functional theory data (PBE-GGA) for an optimized crystal structure of PdSeO3.

DFT total energy, eV for the cell shown: -21.6
Crystal system: cubic
Formation energy from raw total energies, eV/f.u.: 1.96

```
data_PdSeO3
_chemical_formula_sum 'Pd1 Se1 O3'
_symmetry_space_group_name_H-M 'P m -3 m'
_symmetry_Int_Tables_number 221
_symmetry_space_group_name_Hall '-P 4 2 3'
_cell_length_a 3.928
_cell_length_b 3.928
_cell_length_c 3.928
_cell_angle_alpha 90.00
_cell_angle_beta 90.00
_cell_angle_gamma 90.00
loop_
_atom_site_label
_atom_site_fract_x
_atom_site_fract_y
_atom_site_fract_z
_atom_site_occupancy
Pd1 0.000 0.000 0.000 1
Se1 0.500 0.500 0.500 1
O1 0.000 0.000 0.500 1
```

Density functional theory data (PBE-GGA) for an optimized crystal structure of Pd3SeO.

DFT total energy, eV for the cell shown: -20.3
Crystal system: cubic
Formation energy from raw total energies, eV/f.u.: 3.69

```
data_Pd3SeO
_chemical_formula_sum 'Pd3 Se1 O1'
_symmetry_space_group_name_H-M 'P m -3 m'
_symmetry_Int_Tables_number 221
_symmetry_space_group_name_Hall '-P 4 2 3'
_cell_length_a 4.661
_cell_length_b 4.661
_cell_length_c 4.661
_cell_angle_alpha 90.00
_cell_angle_beta 90.00
_cell_angle_gamma 90.00
loop_
_atom_site_label
_atom_site_fract_x
_atom_site_fract_y
_atom_site_fract_z
_atom_site_occupancy
Pd1 0.000 0.000 0.500 1
Se1 0.000 0.000 0.000 1
O1 0.500 0.500 0.500 1
```

Density functional theory data (PBE-GGA) for an optimized crystal structure of PdSe2O6.

DFT total energy, eV for the cell shown: -91.4
Crystal system: monoclinic
Formation energy from raw total energies, eV/f.u.: -3.77

```
data_PdSe2O6
_chemical_formula_sum 'Pd2 Se4 O12'
_symmetry_space_group_name_H-M 'C 1 2/m 1'
_symmetry_Int_Tables_number 12
_cell_length_a 9.410
_cell_length_b 3.620
_cell_length_c 7.999
_cell_angle_alpha 90.00
_cell_angle_beta 109.41
_cell_angle_gamma 90.00
loop_
_symmetry_equiv_pos_as_xyz
'x,y,z'
'-x,-y,-z'
'-x,y,-z'
'x,-y,z'
'x+1/2,y+1/2,z'
'-x+1/2,-y+1/2,-z'
'-x+1/2,y+1/2,-z'
'x+1/2,-y+1/2,z'
loop_
_atom_site_label
_atom_site_fract_x
_atom_site_fract_y
_atom_site_fract_z
_atom_site_occupancy
Pd1 0.000 0.000 0.000 1
Se1 0.204 0.000 0.713 1
O1 0.043 0.000 0.767 1
O2 0.140 0.500 0.085 1
O3 0.213 0.500 0.649 1
```

Density functional theory data (PBE-GGA) for an optimized crystal structure of Pd2SeO.

DFT total energy, eV for the cell shown: -76.1
Crystal system: tetragonal
Formation energy from raw total energies, eV/f.u.: -0.19

```
data_Pd2SeO
_chemical_formula_sum 'Pd8 Se4 O4'
_symmetry_space_group_name_H-M 'I -4 2 d'
_symmetry_Int_Tables_number 122
_symmetry_space_group_name_Hall 'I -4 2bw'
_cell_length_a 6.036
_cell_length_b 6.036
_cell_length_c 7.116
_cell_angle_alpha 90.00
_cell_angle_beta 90.00
_cell_angle_gamma 90.00
loop_
_atom_site_label
_atom_site_fract_x
_atom_site_fract_y
_atom_site_fract_z
_atom_site_occupancy
Pd1 0.209 0.750 0.125 1
Se1 0.000 0.000 0.500 1
O1 0.000 0.000 0.000 1
```

Density functional theory data (PBE-GGA) for an optimized crystal structure of Pd2Se2O7.

DFT total energy, eV for the cell shown: -112.5
Crystal system: monoclinic
Formation energy from raw total energies, eV/f.u.: -4.19

```
data_Pd2Se2O7
_chemical_formula_sum 'Pd4 Se4 O14'
_symmetry_space_group_name_H-M 'C 1 2/m 1'
_symmetry_Int_Tables_number 12
_cell_length_a 10.189
_cell_length_b 8.491
_cell_length_c 4.406
_cell_angle_alpha 90.00
_cell_angle_beta 110.96
_cell_angle_gamma 90.00
loop_
_symmetry_equiv_pos_as_xyz
'x,y,z'
'-x,-y,-z'
'-x,y,-z'
'x,-y,z'
'x+1/2,y+1/2,z'
'-x+1/2,-y+1/2,-z'
'-x+1/2,y+1/2,-z'
'x+1/2,-y+1/2,z'
loop_
_atom_site_label
_atom_site_fract_x
_atom_site_fract_y
_atom_site_fract_z
_atom_site_occupancy
Pd1 0.000 0.183 0.000 1
Se1 0.170 0.500 0.859 1
O1 0.000 0.500 0.500 1
O2 0.123 0.000 0.975 1
O3 0.156 0.344 0.092 1
```

Density functional theory data (PBE-GGA) for an optimized crystal structure of PdSe2O6.

DFT total energy, eV for the cell shown: -184.5
Crystal system: monoclinic
Formation energy from raw total energies, eV/f.u.: -4.21

```
data_PdSe2O6
_chemical_formula_sum 'Pd4 Se8 O24'
_symmetry_space_group_name_H-M 'C 1 2/c 1'
_symmetry_Int_Tables_number 15
_cell_length_a 8.600
_cell_length_b 10.167
_cell_length_c 5.638
_cell_angle_alpha 90.00
_cell_angle_beta 103.85
_cell_angle_gamma 90.00
loop_
_symmetry_equiv_pos_as_xyz
'x,y,z'
'-x,-y,-z'
'-x,y,-z+1/2'
'x,-y,z+1/2'
'x+1/2,y+1/2,z'
'-x+1/2,-y+1/2,-z'
'-x+1/2,y+1/2,-z+1/2'
'x+1/2,-y+1/2,z+1/2'
loop_
_atom_site_label
_atom_site_fract_x
_atom_site_fract_y
_atom_site_fract_z
_atom_site_occupancy
Pd1 0.000 0.072 0.250 1
Se1 0.156 0.371 0.191 1
O1 0.089 0.386 0.459 1
O2 0.124 0.070 0.612 1
O3 0.158 0.202 0.153 1
```

Density functional theory data (PBE-GGA) for an optimized crystal structure of PdSeO4.

DFT total energy, eV for the cell shown: -125.2
Crystal system: monoclinic
Formation energy from raw total energies, eV/f.u.: -2.79

```
data_PdSeO4
_chemical_formula_sum 'Pd4 Se4 O16'
_symmetry_space_group_name_H-M 'C 1 2/c 1'
_symmetry_Int_Tables_number 15
_cell_length_a 8.025
_cell_length_b 6.339
_cell_length_c 7.941
_cell_angle_alpha 90.00
_cell_angle_beta 98.10
_cell_angle_gamma 90.00
loop_
_symmetry_equiv_pos_as_xyz
'x,y,z'
'-x,-y,-z'
'-x,y,-z+1/2'
'x,-y,z+1/2'
'x+1/2,y+1/2,z'
'-x+1/2,-y+1/2,-z'
'-x+1/2,y+1/2,-z+1/2'
'x+1/2,-y+1/2,z+1/2'
loop_
_atom_site_label
_atom_site_fract_x
_atom_site_fract_y
_atom_site_fract_z
_atom_site_occupancy
Pd1 0.250 0.250 0.000 1
Se1 0.000 0.069 0.250 1
O1 0.020 0.222 0.078 1
O2 0.182 0.071 0.789 1
```

Density functional theory data (PBE-GGA) for an optimized crystal structure of PdSeO4.

DFT total energy, eV for the cell shown: -61.4
Crystal system: monoclinic
Formation energy from raw total energies, eV/f.u.: -2.17

```
data_PdSeO4
_chemical_formula_sum 'Pd2 Se2 O8'
_symmetry_space_group_name_H-M 'P 1 21/c 1'
_symmetry_Int_Tables_number 14
_cell_length_a 5.622
_cell_length_b 4.732
_cell_length_c 5.662
_cell_angle_alpha 90.00
_cell_angle_beta 113.53
_cell_angle_gamma 90.00
loop_
_symmetry_equiv_pos_as_xyz
'x,y,z'
'-x,-y,-z'
'-x,y+1/2,-z+1/2'
'x,-y+1/2,z+1/2'
loop_
_atom_site_label
_atom_site_fract_x
_atom_site_fract_y
_atom_site_fract_z
_atom_site_occupancy
Pd1 0.000 0.000 0.000 1
Se1 0.500 0.000 0.500 1
O1 0.164 0.185 0.359 1
O2 0.355 0.700 0.662 1
```

Density functional theory data (PBE-GGA) for an optimized crystal structure of PdSeO3.

DFT total energy, eV for the cell shown: -100.2
Crystal system: monoclinic
Formation energy from raw total energies, eV/f.u.: -1.49

```
data_PdSeO3
_chemical_formula_sum 'Pd4 Se4 O12'
_symmetry_space_group_name_H-M 'C 1 2/m 1'
_symmetry_Int_Tables_number 12
_cell_length_a 6.655
_cell_length_b 8.670
_cell_length_c 6.120
_cell_angle_alpha 90.00
_cell_angle_beta 107.95
_cell_angle_gamma 90.00
loop_
_symmetry_equiv_pos_as_xyz
'x,y,z'
'-x,-y,-z'
'-x,y,-z'
'x,-y,z'
'x+1/2,y+1/2,z'
'-x+1/2,-y+1/2,-z'
'-x+1/2,y+1/2,-z'
'x+1/2,-y+1/2,z'
loop_
_atom_site_label
_atom_site_fract_x
_atom_site_fract_y
_atom_site_fract_z
_atom_site_occupancy
Pd1 0.000 0.188 0.000 1
Se1 0.221 0.500 0.129 1
O1 0.018 0.000 0.237 1
O2 0.136 0.345 0.261 1
```

Density functional theory data (PBE-GGA) for an optimized crystal structure of Pd3SeO.

DFT total energy, eV for the cell shown: -23.5
Crystal system: cubic
Formation energy from raw total energies, eV/f.u.: 0.51

```
data_Pd3SeO
_chemical_formula_sum 'Pd3 Se1 O1'
_symmetry_space_group_name_H-M 'P m -3 m'
_symmetry_Int_Tables_number 221
_symmetry_space_group_name_Hall '-P 4 2 3'
_cell_length_a 4.276
_cell_length_b 4.276
_cell_length_c 4.276
_cell_angle_alpha 90.00
_cell_angle_beta 90.00
_cell_angle_gamma 90.00
loop_
_atom_site_label
_atom_site_fract_x
_atom_site_fract_y
_atom_site_fract_z
_atom_site_occupancy
Pd1 0.000 0.000 0.500 1
Se1 0.500 0.500 0.500 1
O1 0.000 0.000 0.000 1
```

Density functional theory data (PBE-GGA) for an optimized crystal structure of SnPdSeO2.

DFT total energy, eV for the cell shown: -24.4
Crystal system: tetragonal
Formation energy from raw total energies, eV/f.u.: -1.82

```
data_SnPdSeO2
_chemical_formula_sum 'Sn1 Pd1 Se1 O2'
_symmetry_space_group_name_H-M 'P 4/m m m'
_symmetry_Int_Tables_number 123
_symmetry_space_group_name_Hall '-P 4 2'
_cell_length_a 3.893
_cell_length_b 3.893
_cell_length_c 5.920
_cell_angle_alpha 90.00
_cell_angle_beta 90.00
_cell_angle_gamma 90.00
loop_
_atom_site_label
_atom_site_fract_x
_atom_site_fract_y
_atom_site_fract_z
_atom_site_occupancy
Sn1 0.000 0.000 0.000 1
Pd1 0.500 0.500 0.500 1
Se1 0.000 0.000 0.500 1
O1 0.000 0.500 0.000 1
```

Density functional theory data (PBE-GGA) for an optimized crystal structure of SrPdSeO6.

DFT total energy, eV for the cell shown: -50.6
Crystal system: trigonal
Formation energy from raw total energies, eV/f.u.: -10.53

```
data_SrPdSeO6
_chemical_formula_sum 'Sr1 Pd1 Se1 O6'
_symmetry_space_group_name_H-M 'P 3 1 2'
_symmetry_Int_Tables_number 149
_cell_length_a 5.1148
_cell_length_b 5.1148
_cell_length_c 5.4286
_cell_angle_alpha 90.00
_cell_angle_beta 90.00
_cell_angle_gamma 120.00
loop_
_symmetry_equiv_pos_as_xyz
'x,y,z'
'-y,x-y,z'
'-x+y,-x,z'
'-y,-x,-z'
'-x+y,y,-z'
'x,x-y,-z'
loop_
_atom_site_label
_atom_site_fract_x
_atom_site_fract_y
_atom_site_fract_z
_atom_site_occupancy
Sr1 0.0000 0.0000 0.0000 1
Pd1 0.3333 0.6667 0.5000 1
Se1 0.6667 0.3333 0.5000 1
O1 0.3873 0.0276 0.6952 1
```